No. 1
# ZnCdS2, optimized geometry, DFT PBE
# - Formation energy (no corrections): -0.706 eV per atom
# - Size of the total moment: 0.000 μB per cell
data_ZnCdS2
_cell_length_a 5.649
_cell_length_b 5.657
_cell_length_c 5.745
_cell_angle_alpha 90.00
_cell_angle_beta 90.00
_cell_angle_gamma 90.00
_symmetry_space_group_name_H-M 'C 2 2 2'
_symmetry_Int_Tables_number 21
_symmetry_space_group_name_Hall 'C 2 2'
loop_
_atom_site_label
_atom_site_fract_x
_atom_site_fract_y
_atom_site_fract_z
_atom_site_occupancy
Zn1 0.000 0.000 0.000 1
Cd1 0.000 0.500 0.500 1
S1 0.250 0.250 0.776 1

---

No. 2
# ZnCdS2, optimized geometry, DFT PBE
# - Formation energy (no corrections): -0.135 eV per atom
# - Size of the total moment: 0.000 μB per cell
data_ZnCdS2
_cell_length_a 3.864
_cell_length_b 16.594
_cell_length_c 6.234
_cell_angle_alpha 90.00
_cell_angle_beta 90.00
_cell_angle_gamma 90.00
_symmetry_space_group_name_H-M 'C m c m'
_symmetry_Int_Tables_number 63
_symmetry_space_group_name_Hall '-C 2c 2'
loop_
_atom_site_label
_atom_site_fract_x
_atom_site_fract_y
_atom_site_fract_z
_atom_site_occupancy
Zn1 0.000 0.163 0.250 1
Cd1 0.000 0.434 0.250 1
S1 0.000 0.295 0.250 1
S2 0.000 0.418 0.750 1

---

No. 3
# ZnCdS2, optimized geometry, DFT PBE
# - Formation energy (no corrections): -0.711 eV per atom
# - Size of the total moment: 0.000 μB per cell
data_ZnCdS2
_cell_length_a 3.992
_cell_length_b 6.576
_cell_length_c 6.997
_cell_angle_alpha 90.00
_cell_angle_beta 90.00
_cell_angle_gamma 90.00
_symmetry_space_group_name_H-M 'P 1 21 1'
_symmetry_Int_Tables_number 4
_symmetry_space_group_name_Hall 'P 2yb'
loop_
_atom_site_label
_atom_site_fract_x
_atom_site_fract_y
_atom_site_fract_z
_atom_site_occupancy
Zn1 0.001 0.000 0.338 1
Cd1 0.500 0.004 0.829 1
S1 0.000 0.359 0.352 1
S2 0.500 0.394 0.819 1

---

No. 4
# ZnCdS2, optimized geometry, DFT PBE
# - Formation energy (no corrections): -0.455 eV per atom
# - Size of the total moment: 0.000 μB per cell
data_ZnCdS2
_cell_length_a 6.979
_cell_length_b 3.739
_cell_length_c 13.239
_cell_angle_alpha 90.00
_cell_angle_beta 90.00
_cell_angle_gamma 90.00
_symmetry_space_group_name_H-M 'P n m a'
_symmetry_Int_Tables_number 62
_symmetry_space_group_name_Hall '-P 2ac 2n'
loop_
_atom_site_label
_atom_site_fract_x
_atom_site_fract_y
_atom_site_fract_z
_atom_site_occupancy
Zn1 0.035 0.250 0.109 1
Cd1 0.105 0.750 0.382 1
S1 0.040 0.250 0.792 1
S2 0.247 0.250 0.502 1

---

No. 5
# ZnCdS2, optimized geometry, DFT PBE
# - Formation energy (no corrections): -0.587 eV per atom
# - Size of the total moment: 0.000 μB per cell
data_ZnCdS2
_cell_length_a 6.625
_cell_length_b 3.911
_cell_length_c 15.395
_cell_angle_alpha 90.00
_cell_angle_beta 93.80
_cell_angle_gamma 90.00
_symmetry_space_group_name_H-M 'P 1 21/c 1'
_symmetry_Int_Tables_number 14
_symmetry_space_group_name_Hall '-P 2ybc'
loop_
_atom_site_label
_atom_site_fract_x
_atom_site_fract_y
_atom_site_fract_z
_atom_site_occupancy
Zn1 0.104 0.005 0.380 1
Cd1 0.349 0.002 0.099 1
S1 0.214 0.502 0.180 1
S2 0.266 0.504 0.427 1

---

No. 6
# ZrCdS2, optimized geometry, DFT PBE
# - Formation energy (no corrections): -1.054 eV per atom
# - Size of the total moment: 0.000 μB per cell
data_ZrCdS2
_cell_length_a 3.6013
_cell_length_b 3.6013
_cell_length_c 26.1255
_cell_angle_alpha 90.00
_cell_angle_beta 90.00
_cell_angle_gamma 120.00
_symmetry_space_group_name_H-M 'R 3 m'
_symmetry_Int_Tables_number 160
_symmetry_space_group_name_Hall 'R 3 -2"'
loop_
_atom_site_label
_atom_site_fract_x
_atom_site_fract_y
_atom_site_fract_z
_atom_site_occupancy
Zr1 0.0000 0.0000 0.0000 1
Cd1 0.0000 0.0000 0.8313 1
S1 0.0000 0.0000 0.3918 1
S2 0.0000 0.0000 0.6083 1

---

No. 7
# ZrCdS2, optimized geometry, DFT PBE
# - Formation energy (no corrections): -1.073 eV per atom
# - Size of the total moment: 0.000 μB per cell
data_ZrCdS2
_cell_length_a 3.5862
_cell_length_b 3.5862
_cell_length_c 26.1835
_cell_angle_alpha 90.00
_cell_angle_beta 90.00
_cell_angle_gamma 120.00
_symmetry_space_group_name_H-M 'R -3 m'
_symmetry_Int_Tables_number 166
_symmetry_space_group_name_Hall '-R 3 2"'
loop_
_atom_site_label
_atom_site_fract_x
_atom_site_fract_y
_atom_site_fract_z
_atom_site_occupancy
Zr1 0.0000 0.0000 0.0000 1
Cd1 0.0000 0.0000 0.5000 1
S1 0.0000 0.0000 0.3919 1

---

No. 8
# ZrCd3S, optimized geometry, DFT PBE
# - Formation energy (no corrections): 1.048 eV per atom
# - Excess energy over the best structure of this formula in the dataset: 0.406 eV per atom
# - Size of the total moment: 0.000 μB per cell
data_ZrCd3S
_cell_length_a 5.635
_cell_length_b 5.635
_cell_length_c 5.635
_cell_angle_alpha 90.00
_cell_angle_beta 90.00
_cell_angle_gamma 90.00
_symmetry_space_group_name_H-M 'P m -3 m'
_symmetry_Int_Tables_number 221
_symmetry_space_group_name_Hall '-P 4 2 3'
loop_
_atom_site_label
_atom_site_fract_x
_atom_site_fract_y
_atom_site_fract_z
_atom_site_occupancy
Zr1 0.000 0.000 0.000 1
Cd1 0.000 0.000 0.500 1
S1 0.500 0.500 0.500 1